# LaVP2O

A relaxed structure of LaVP2O (GGA+U, the Alexandria database).

Values from the calculation:
SG: No. 123
Distance to the lowest polymorph of the same formula: 1194 meV/atom
Calculated total energy: -26.89 eV per cell

The structure in POSCAR format:
```
LaVP2O
1.0
5.641 0.000 0.000
0.000 5.641 0.000
0.000 0.000 4.192
P La V O
2 1 1 1
direct
0.500 0.000 0.000
0.000 0.500 0.000
0.000 0.000 0.000
0.500 0.500 0.500
0.000 0.000 0.500
```